An optimized crystal structure of Sr5CeTl6. Source: Alexandria via LeMat-Bulk, functional PBE.

abc: 5.7766 8.1000 9.9825
angles: 66.07 73.14 90.00
Sites, in units of the cell vectors:
Sr  0.6752  0.1751  0.6498
Sr  0.3370  0.3372  0.3257
Sr  0.0000  0.5000  0.0000
Sr  0.6630  0.6628  0.6743
Sr  0.3248  0.8249  0.3502
Tl  0.8385  0.6028  0.3224
Tl  0.8385  0.0748  0.3225
Tl  0.5000  0.7717  0.0000
Tl  0.5000  0.2283  0.0000
Tl  0.1615  0.9252  0.6775
Tl  0.1615  0.3972  0.6776
Ce  0.0000  0.0000  0.0000

Output
- SG = C2/m, No. 12
- ΔE_f (eV per atom) = -0.385

=====

An optimized crystal structure of SrCeTl5. Source: Alexandria via LeMat-Bulk, functional PBE.

abc: 5.3693 5.3693 7.9167
angles: 90.00 90.00 90.00
Sites, in units of the cell vectors:
Sr  0.0000  0.0000  0.5000
Ce  0.5000  0.5000  0.0000
Tl  0.0000  0.5000  0.7740
Tl  0.0000  0.5000  0.2260
Tl  0.5000  0.0000  0.7740
Tl  0.5000  0.0000  0.2260
Tl  0.5000  0.5000  0.5000

Output
- SG = P4/mmm, No. 123
- ΔE_f (eV per atom) = -0.099

=====

An optimized crystal structure of SrCeTl3. Source: Alexandria via LeMat-Bulk, functional PBE.

abc: 6.5333 7.8182 7.8182
angles: 120.00 90.00 90.00
Sites, in units of the cell vectors:
Sr  0.2500  0.3335  0.6665
Sr  0.7500  0.6665  0.3335
Ce  0.0000  0.0000  0.0000
Ce  0.5000  0.0000  0.0000
Tl  0.2500  0.7977  0.2023
Tl  0.7500  0.2023  0.7977
Tl  0.2500  0.7976  0.5956
Tl  0.7500  0.2024  0.4044
Tl  0.2500  0.4044  0.2024
Tl  0.7500  0.5956  0.7976

Output
- SG = P6_3/mmc, No. 194
- ΔE_f (eV per atom) = -0.138

=====

Number 1: density 7401 kg/m3, energy -2.763 eV/atom. Number 2: density 9092 kg/m3, energy -2.877 eV/atom. Number 3: density 8075 kg/m3, energy -3.080 eV/atom.